Record 1
VRhSe4 PBE optimized geometry; calculated total energy = -5.469 eV per atom; relative energy among the computed polymorphs = 80 meV per atom; density of states at the Fermi level = 2.6 states/eV/f.u.
1.0
3.5013 -8.3816 0.0000
3.5013 8.3816 0.0000
-3.4489 0.0000 4.8615
V Rh Se
2 2 8
Direct
0.1619 0.8381 0.7500
0.8381 0.1619 0.2500
0.3199 0.6801 0.2500
0.6801 0.3199 0.7500
0.0376 0.4661 0.7458
0.1821 0.3303 0.2661
0.3303 0.1821 0.7661
0.4661 0.0376 0.2458
0.5339 0.9624 0.7542
0.6697 0.8179 0.2339
0.8179 0.6697 0.7339
0.9624 0.5339 0.2542



Record 2
VRhSe2 PBE optimized geometry; calculated total energy = -6.134 eV per atom; relative energy among the computed polymorphs = 38 meV per atom; density of states at the Fermi level = 4.1 states/eV/f.u.
1.0
1.5821 0.9134 8.0664
-1.5821 0.9134 8.0664
0.0000 -1.8268 8.0664
V Rh Se
1 1 2
Direct
0.0000 0.0000 0.0000
0.5000 0.5000 0.5000
0.4013 0.4013 0.4013
0.5987 0.5987 0.5987



Record 3
VRhSe3 PBE optimized geometry; calculated total energy = -4.958 eV per atom; relative energy among the computed polymorphs = 819 meV per atom; density of states at the Fermi level = 4.5 states/eV/f.u.
1.0
4.7315 0.0000 0.0000
0.0000 4.7315 0.0000
0.0000 0.0000 4.7315
V Rh Se
1 1 3
Direct
0.0000 0.0000 0.0000
0.5000 0.5000 0.5000
0.0000 0.0000 0.5000
0.0000 0.5000 0.0000
0.5000 0.0000 0.0000



Record 4
VRhSe2 PBE optimized geometry; calculated total energy = -5.791 eV per atom; relative energy among the computed polymorphs = 381 meV per atom; density of states at the Fermi level = 2.5 states/eV/f.u.
1.0
1.8172 1.0492 7.6772
-1.8172 1.0492 7.6772
0.0000 -2.0983 7.6772
V Rh Se
1 1 2
Direct
0.0000 0.0000 0.0000
0.5000 0.5000 0.5000
0.1078 0.1078 0.1078
0.8922 0.8922 0.8922



Record 5
VRhSe3 PBE optimized geometry; calculated total energy = -5.777 eV per atom; relative energy among the computed polymorphs = 0 meV per atom; density of states at the Fermi level = 2.9 states/eV/f.u.
1.0
6.6698 0.0000 0.0000
0.0000 3.2596 0.0000
-1.7352 0.0000 10.1226
V Rh Se
2 2 6
Direct
0.0464 0.2500 0.3967
0.9536 0.7500 0.6033
0.4930 0.2500 0.8392
0.5070 0.7500 0.1608
0.1787 0.7500 0.2537
0.2335 0.2500 0.6231
0.2965 0.7500 0.9392
0.7035 0.2500 0.0608
0.7665 0.7500 0.3769
0.8213 0.2500 0.7463



Record 6
VRhSe2 PBE optimized geometry; calculated total energy = -6.071 eV per atom; relative energy among the computed polymorphs = 101 meV per atom; density of states at the Fermi level = 3.6 states/eV/f.u.
1.0
-2.7766 2.7766 5.6765
2.7766 -2.7766 5.6765
2.7766 2.7766 -5.6765
V Rh Se
2 2 4
Direct
0.0000 0.0000 0.0000
0.7500 0.2500 0.5000
0.2500 0.7500 0.5000
0.5000 0.5000 0.0000
0.1198 0.6250 0.9948
0.3750 0.3698 0.4948
0.6302 0.1250 0.0052
0.8750 0.8802 0.5052



Record 7
RhWSe2 PBE optimized geometry; calculated total energy = -6.984 eV per atom; relative energy among the computed polymorphs = 53 meV per atom; density of states at the Fermi level = 2.4 states/eV/f.u.
1.0
4.3823 0.0000 0.0000
1.3390 5.6769 0.0000
1.9617 2.3532 6.2058
Rh W Se
2 2 4
Direct
0.0000 0.0000 0.0000
0.2040 0.8749 0.6329
0.6084 0.1158 0.7095
0.7453 0.5257 0.7480
0.1531 0.3434 0.4824
0.1982 0.3998 0.9428
0.5561 0.7459 0.0558
0.7888 0.9190 0.4117



Record 8
RhWSe PBE optimized geometry; calculated total energy = -7.687 eV per atom; relative energy among the computed polymorphs = 272 meV per atom; density of states at the Fermi level = 2.9 states/eV/f.u.
1.0
4.2779 0.0000 0.0000
-2.1390 3.7048 0.0000
0.0000 0.0000 3.0243
Rh W Se
1 1 1
Direct
0.0000 0.0000 0.0000
0.3333 0.6667 0.5000
0.6667 0.3333 0.5000



Record 9
Rh2WSe PBE optimized geometry; calculated total energy = -7.570 eV per atom; density of states at the Fermi level = 2.9 states/eV/f.u.
1.0
0.0000 3.1190 3.1190
3.1190 0.0000 3.1190
3.1190 3.1190 0.0000
Rh W Se
2 1 1
Direct
0.0000 0.0000 0.0000
0.2500 0.2500 0.2500
0.5000 0.5000 0.5000
0.7500 0.7500 0.7500



Record 10
RhWSe PBE optimized geometry; calculated total energy = -7.828 eV per atom; relative energy among the computed polymorphs = 131 meV per atom; density of states at the Fermi level = 1.7 states/eV/f.u.
1.0
2.9962 0.0000 0.0000
-1.4981 2.5947 0.0000
0.0000 0.0000 6.2868
Rh W Se
1 1 1
Direct
0.0000 0.0000 0.0000
0.3333 0.6667 0.6732
0.6667 0.3333 0.3708



Record 11
RhWSe2 PBE optimized geometry; calculated total energy = -6.304 eV per atom; relative energy among the computed polymorphs = 733 meV per atom; density of states at the Fermi level = 3.6 states/eV/f.u.
1.0
-1.8909 1.8909 4.5875
1.8909 -1.8909 4.5875
1.8909 1.8909 -4.5875
Rh W Se
1 1 2
Direct
0.0000 0.0000 0.0000
0.7500 0.2500 0.5000
0.2500 0.7500 0.5000
0.5000 0.5000 0.0000



Record 12
RhWSe2 PBE optimized geometry; calculated total energy = -7.030 eV per atom; relative energy among the computed polymorphs = 7 meV per atom; density of states at the Fermi level = 1.8 states/eV/f.u.
1.0
6.1892 0.0000 0.0000
0.0000 3.2598 0.0000
-1.9786 0.0000 8.3853
Rh W Se
2 2 4
Direct
0.0000 0.0000 0.0000
0.2985 0.5000 0.9141
0.2670 0.5000 0.2108
0.6306 0.0000 0.1786
0.0854 0.0000 0.7337
0.4496 0.0000 0.4253
0.6936 0.5000 0.9553
0.9166 0.5000 0.3496